# BiTe2AuN PBE optimized geometry
# Formation energy from raw total energies   74 kJ per mole of atoms
data_BiTe2AuN
_symmetry_space_group_name_H-M 'P 4/m m m'
_symmetry_Int_Tables_number 123
_symmetry_space_group_name_Hall '-P 4 2'
_cell_length_a 5.690
_cell_length_b 5.690
_cell_length_c 3.979
_cell_angle_alpha 90.00
_cell_angle_beta 90.00
_cell_angle_gamma 90.00
loop_
_atom_site_label
_atom_site_fract_x
_atom_site_fract_y
_atom_site_fract_z
Bi1 0.000 0.000 0.000
Te1 0.000 0.500 0.500
Au1 0.500 0.500 0.500
N1 0.500 0.500 0.000



# Tm5Cd2Co PBE optimized geometry
# Energy of formation from the pure elements   -0.0069 eV per atom
data_Tm5Cd2Co
_symmetry_space_group_name_H-M 'C m c m'
_symmetry_Int_Tables_number 63
_symmetry_space_group_name_Hall '-C 2c 2'
_cell_length_a 5.530
_cell_length_b 11.882
_cell_length_c 12.511
_cell_angle_alpha 90.00
_cell_angle_beta 90.00
_cell_angle_gamma 90.00
loop_
_atom_site_label
_atom_site_fract_x
_atom_site_fract_y
_atom_site_fract_z
Tm1 0.000 0.081 0.106
Tm2 0.000 0.371 0.062
Tm3 0.000 0.414 0.750
Cd1 0.000 0.186 0.637
Co1 0.000 0.239 0.250



# ZnTe3C PBE optimized geometry
# Formation energy from raw total energies   95 kJ per mole of atoms
data_ZnTe3C
_symmetry_space_group_name_H-M 'P m -3 m'
_symmetry_Int_Tables_number 221
_symmetry_space_group_name_Hall '-P 4 2 3'
_cell_length_a 4.820
_cell_length_b 4.820
_cell_length_c 4.820
_cell_angle_alpha 90.00
_cell_angle_beta 90.00
_cell_angle_gamma 90.00
loop_
_atom_site_label
_atom_site_fract_x
_atom_site_fract_y
_atom_site_fract_z
Zn1 0.000 0.000 0.000
Te1 0.000 0.500 0.500
C1 0.500 0.500 0.500



# Ni2OsAu PBE optimized geometry
# Energy of formation from the pure elements   0.1335 eV per atom
data_Ni2OsAu
_symmetry_space_group_name_H-M 'P 4/m m m'
_symmetry_Int_Tables_number 123
_symmetry_space_group_name_Hall '-P 4 2'
_cell_length_a 2.715
_cell_length_b 2.715
_cell_length_c 7.361
_cell_angle_alpha 90.00
_cell_angle_beta 90.00
_cell_angle_gamma 90.00
loop_
_atom_site_label
_atom_site_fract_x
_atom_site_fract_y
_atom_site_fract_z
Ni1 0.000 0.000 0.230
Os1 0.500 0.500 0.000
Au1 0.500 0.500 0.500



# PmTh2Pb PBE optimized geometry
# Energy of formation from the pure elements   -0.2084 eV per atom
data_PmTh2Pb
_symmetry_space_group_name_H-M 'P 4/m m m'
_symmetry_Int_Tables_number 123
_symmetry_space_group_name_Hall '-P 4 2'
_cell_length_a 4.876
_cell_length_b 4.876
_cell_length_c 5.160
_cell_angle_alpha 90.00
_cell_angle_beta 90.00
_cell_angle_gamma 90.00
loop_
_atom_site_label
_atom_site_fract_x
_atom_site_fract_y
_atom_site_fract_z
Pm1 0.000 0.000 0.000
Th1 0.000 0.500 0.500
Pb1 0.500 0.500 0.000



# Rb2TlO2 PBE optimized geometry
# Formation energy from raw total energies   -84 kJ per mole of atoms
data_Rb2TlO2
_symmetry_space_group_name_H-M 'I b a m'
_symmetry_Int_Tables_number 72
_symmetry_space_group_name_Hall '-I 2 2c'
_cell_length_a 6.874
_cell_length_b 11.073
_cell_length_c 6.570
_cell_angle_alpha 90.00
_cell_angle_beta 90.00
_cell_angle_gamma 90.00
loop_
_atom_site_label
_atom_site_fract_x
_atom_site_fract_y
_atom_site_fract_z
Rb1 0.112 0.155 0.000
Tl1 0.000 0.500 0.250
O1 0.202 0.404 0.000



# BaPdBr6 PBE optimized geometry
# Formation energy from raw total energies   -85 kJ per mole of atoms
data_BaPdBr6
_symmetry_space_group_name_H-M 'P -1'
_symmetry_Int_Tables_number 2
_symmetry_space_group_name_Hall '-P 1'
_cell_length_a 6.900
_cell_length_b 6.939
_cell_length_c 7.581
_cell_angle_alpha 90.39
_cell_angle_beta 116.65
_cell_angle_gamma 119.75
loop_
_atom_site_label
_atom_site_fract_x
_atom_site_fract_y
_atom_site_fract_z
Ba1 0.000 0.000 0.000
Pd1 0.000 0.500 0.500
Br1 0.183 0.501 0.279
Br2 0.220 0.320 0.723
Br3 0.399 0.899 0.725



# Y3HgN PBE optimized geometry
# Formation energy from raw total energies   -71 kJ per mole of atoms
data_Y3HgN
_symmetry_space_group_name_H-M 'P n m a'
_symmetry_Int_Tables_number 62
_symmetry_space_group_name_Hall '-P 2ac 2n'
_cell_length_a 5.490
_cell_length_b 13.499
_cell_length_c 6.913
_cell_angle_alpha 90.00
_cell_angle_beta 90.00
_cell_angle_gamma 90.00
loop_
_atom_site_label
_atom_site_fract_x
_atom_site_fract_y
_atom_site_fract_z
Y1 0.009 0.119 0.091
Y2 0.025 0.250 0.589
Hg1 0.000 0.000 0.500
N1 0.045 0.750 0.095



# CsKCd2Pb PBE optimized geometry
# Energy of formation from the pure elements   0.0588 eV per atom
data_CsKCd2Pb
_symmetry_space_group_name_H-M 'P 4/m m m'
_symmetry_Int_Tables_number 123
_symmetry_space_group_name_Hall '-P 4 2'
_cell_length_a 6.107
_cell_length_b 6.107
_cell_length_c 6.622
_cell_angle_alpha 90.00
_cell_angle_beta 90.00
_cell_angle_gamma 90.00
loop_
_atom_site_label
_atom_site_fract_x
_atom_site_fract_y
_atom_site_fract_z
Cs1 0.000 0.000 0.000
K1 0.500 0.500 0.000
Cd1 0.000 0.500 0.500
Pb1 0.500 0.500 0.500



# LiNbS3 PBE optimized geometry
# Formation energy from raw total energies   -85 kJ per mole of atoms
data_LiNbS3
_symmetry_space_group_name_H-M 'C 1 2/m 1'
_symmetry_Int_Tables_number 12
_symmetry_space_group_name_Hall '-C 2y'
_cell_length_a 18.454
_cell_length_b 3.957
_cell_length_c 6.586
_cell_angle_alpha 90.00
_cell_angle_beta 91.78
_cell_angle_gamma 90.00
loop_
_atom_site_label
_atom_site_fract_x
_atom_site_fract_y
_atom_site_fract_z
Li1 0.100 0.000 0.413
Nb1 0.096 0.500 0.892
S1 0.019 0.500 0.256
S2 0.147 0.000 0.044
S3 0.161 0.500 0.608



# BaSb2TeRu PBE optimized geometry
# Formation energy from raw total energies   160 kJ per mole of atoms
data_BaSb2TeRu
_symmetry_space_group_name_H-M 'P 4/m m m'
_symmetry_Int_Tables_number 123
_symmetry_space_group_name_Hall '-P 4 2'
_cell_length_a 6.223
_cell_length_b 6.223
_cell_length_c 6.284
_cell_angle_alpha 90.00
_cell_angle_beta 90.00
_cell_angle_gamma 90.00
loop_
_atom_site_label
_atom_site_fract_x
_atom_site_fract_y
_atom_site_fract_z
Ba1 0.000 0.000 0.000
Sb1 0.000 0.500 0.000
Te1 0.000 0.000 0.500
Ru1 0.500 0.500 0.500



# K4Er3ThS8 PBE optimized geometry
# Formation energy from raw total energies   -176 kJ per mole of atoms
data_K4Er3ThS8
_symmetry_space_group_name_H-M 'R -3 m'
_symmetry_Int_Tables_number 166
_symmetry_space_group_name_Hall '-R 3 2"'
_cell_length_a 8.0823
_cell_length_b 8.0823
_cell_length_c 22.1521
_cell_angle_alpha 90.00
_cell_angle_beta 90.00
_cell_angle_gamma 120.00
loop_
_atom_site_label
_atom_site_fract_x
_atom_site_fract_y
_atom_site_fract_z
K1 0.0000 0.0000 0.0000
K2 0.0000 0.5000 0.0000
Er1 0.0000 0.5000 0.5000
Th1 0.0000 0.0000 0.5000
S1 0.0000 0.0000 0.2333
S2 0.0051 0.5026 0.7651



# La2PbO PBE optimized geometry
# Formation energy from raw total energies   -160 kJ per mole of atoms
data_La2PbO
_symmetry_space_group_name_H-M 'I -4 2 d'
_symmetry_Int_Tables_number 122
_symmetry_space_group_name_Hall 'I -4 2bw'
_cell_length_a 7.378
_cell_length_b 7.378
_cell_length_c 8.343
_cell_angle_alpha 90.00
_cell_angle_beta 90.00
_cell_angle_gamma 90.00
loop_
_atom_site_label
_atom_site_fract_x
_atom_site_fract_y
_atom_site_fract_z
La1 0.149 0.250 0.125
Pb1 0.000 0.000 0.500
O1 0.000 0.000 0.000



# LiTl2Ni2 PBE optimized geometry
# Energy of formation from the pure elements   0.2088 eV per atom
data_LiTl2Ni2
_symmetry_space_group_name_H-M 'I 4/m m m'
_symmetry_Int_Tables_number 139
_symmetry_space_group_name_Hall '-I 4 2'
_cell_length_a 4.986
_cell_length_b 4.986
_cell_length_c 7.797
_cell_angle_alpha 90.00
_cell_angle_beta 90.00
_cell_angle_gamma 90.00
loop_
_atom_site_label
_atom_site_fract_x
_atom_site_fract_y
_atom_site_fract_z
Li1 0.000 0.000 0.000
Tl1 0.000 0.500 0.250
Ni1 0.000 0.000 0.353



# USeI3 PBE optimized geometry
# Formation energy from raw total energies   -74 kJ per mole of atoms
data_USeI3
_symmetry_space_group_name_H-M 'C 1 2/c 1'
_symmetry_Int_Tables_number 15
_symmetry_space_group_name_Hall '-C 2yc'
_cell_length_a 8.255
_cell_length_b 15.389
_cell_length_c 15.085
_cell_angle_alpha 90.00
_cell_angle_beta 96.78
_cell_angle_gamma 90.00
loop_
_atom_site_label
_atom_site_fract_x
_atom_site_fract_y
_atom_site_fract_z
U1 0.076 0.054 0.141
Se1 0.133 0.180 0.288
I1 0.127 0.373 0.915
I2 0.130 0.114 0.532
I3 0.230 0.051 0.803



# Rb3Sm2ScSe6 PBE optimized geometry
# Formation energy from raw total energies   -162 kJ per mole of atoms
data_Rb3Sm2ScSe6
_symmetry_space_group_name_H-M 'C 1 2/m 1'
_symmetry_Int_Tables_number 12
_symmetry_space_group_name_Hall '-C 2y'
_cell_length_a 7.338
_cell_length_b 12.710
_cell_length_c 8.354
_cell_angle_alpha 90.00
_cell_angle_beta 107.07
_cell_angle_gamma 90.00
loop_
_atom_site_label
_atom_site_fract_x
_atom_site_fract_y
_atom_site_fract_z
Rb1 0.000 0.000 0.000
Rb2 0.000 0.330 0.000
Sm1 0.000 0.166 0.500
Sc1 0.000 0.500 0.500
Se1 0.223 0.341 0.694
Se2 0.248 0.000 0.695



# RbBaRe3 PBE optimized geometry
# Energy of formation from the pure elements   3.6218 eV per atom
data_RbBaRe3
_symmetry_space_group_name_H-M 'P m -3 m'
_symmetry_Int_Tables_number 221
_symmetry_space_group_name_Hall '-P 4 2 3'
_cell_length_a 5.463
_cell_length_b 5.463
_cell_length_c 5.463
_cell_angle_alpha 90.00
_cell_angle_beta 90.00
_cell_angle_gamma 90.00
loop_
_atom_site_label
_atom_site_fract_x
_atom_site_fract_y
_atom_site_fract_z
Rb1 0.000 0.000 0.000
Ba1 0.500 0.500 0.500
Re1 0.000 0.500 0.500



# Dy6BiTe3Pt2 PBE optimized geometry
# Formation energy from raw total energies   -116 kJ per mole of atoms
data_Dy6BiTe3Pt2
_symmetry_space_group_name_H-M 'C 1 2/m 1'
_symmetry_Int_Tables_number 12
_symmetry_space_group_name_Hall '-C 2y'
_cell_length_a 19.095
_cell_length_b 4.235
_cell_length_c 8.803
_cell_angle_alpha 90.00
_cell_angle_beta 106.24
_cell_angle_gamma 90.00
loop_
_atom_site_label
_atom_site_fract_x
_atom_site_fract_y
_atom_site_fract_z
Dy1 0.016 0.000 0.260
Dy2 0.173 0.500 0.132
Dy3 0.174 0.500 0.572
Bi1 0.000 0.500 0.000
Te1 0.000 0.500 0.500
Te2 0.159 0.000 0.846
Pt1 0.171 0.000 0.350



# In2NiSnBr PBE optimized geometry
# Formation energy from raw total energies   -24 kJ per mole of atoms
data_In2NiSnBr
_symmetry_space_group_name_H-M 'P 4/m m m'
_symmetry_Int_Tables_number 123
_symmetry_space_group_name_Hall '-P 4 2'
_cell_length_a 5.129
_cell_length_b 5.129
_cell_length_c 4.929
_cell_angle_alpha 90.00
_cell_angle_beta 90.00
_cell_angle_gamma 90.00
loop_
_atom_site_label
_atom_site_fract_x
_atom_site_fract_y
_atom_site_fract_z
In1 0.000 0.500 0.000
Ni1 0.000 0.000 0.000
Sn1 0.000 0.000 0.500
Br1 0.500 0.500 0.500



# Nd2Fe2Si2N PBE optimized geometry
# Formation energy from raw total energies   -76 kJ per mole of atoms
data_Nd2Fe2Si2N
_symmetry_space_group_name_H-M 'C 1 2/m 1'
_symmetry_Int_Tables_number 12
_symmetry_space_group_name_Hall '-C 2y'
_cell_length_a 10.803
_cell_length_b 3.918
_cell_length_c 6.959
_cell_angle_alpha 90.00
_cell_angle_beta 128.23
_cell_angle_gamma 90.00
loop_
_atom_site_label
_atom_site_fract_x
_atom_site_fract_y
_atom_site_fract_z
Nd1 0.060 0.000 0.296
Fe1 0.193 0.500 0.081
Si1 0.172 0.500 0.728
N1 0.000 0.500 0.000



# Mg3ScTe PBE optimized geometry
# Formation energy from raw total energies   76 kJ per mole of atoms
data_Mg3ScTe
_symmetry_space_group_name_H-M 'P m -3 m'
_symmetry_Int_Tables_number 221
_symmetry_space_group_name_Hall '-P 4 2 3'
_cell_length_a 5.659
_cell_length_b 5.659
_cell_length_c 5.659
_cell_angle_alpha 90.00
_cell_angle_beta 90.00
_cell_angle_gamma 90.00
loop_
_atom_site_label
_atom_site_fract_x
_atom_site_fract_y
_atom_site_fract_z
Mg1 0.000 0.000 0.500
Sc1 0.000 0.000 0.000
Te1 0.500 0.500 0.500



# GeSe2N2 PBE optimized geometry
# Formation energy from raw total energies   152 kJ per mole of atoms
data_GeSe2N2
_symmetry_space_group_name_H-M 'P 4/m m m'
_symmetry_Int_Tables_number 123
_symmetry_space_group_name_Hall '-P 4 2'
_cell_length_a 4.248
_cell_length_b 4.248
_cell_length_c 4.098
_cell_angle_alpha 90.00
_cell_angle_beta 90.00
_cell_angle_gamma 90.00
loop_
_atom_site_label
_atom_site_fract_x
_atom_site_fract_y
_atom_site_fract_z
Ge1 0.000 0.000 0.000
Se1 0.000 0.500 0.500
N1 0.500 0.500 0.000
N2 0.500 0.500 0.500



# Ba2NaSr5 PBE optimized geometry
# Energy of formation from the pure elements   0.0128 eV per atom
data_Ba2NaSr5
_symmetry_space_group_name_H-M 'P b a m'
_symmetry_Int_Tables_number 55
_symmetry_space_group_name_Hall '-P 2 2ab'
_cell_length_a 10.324
_cell_length_b 18.750
_cell_length_c 4.547
_cell_angle_alpha 90.00
_cell_angle_beta 90.00
_cell_angle_gamma 90.00
loop_
_atom_site_label
_atom_site_fract_x
_atom_site_fract_y
_atom_site_fract_z
Ba1 0.228 0.121 0.000
Na1 0.000 0.000 0.500
Sr1 0.000 0.500 0.500
Sr2 0.001 0.263 0.500
Sr3 0.227 0.878 0.000



# Pa2MnCl PBE optimized geometry
# Formation energy from raw total energies   -39 kJ per mole of atoms
data_Pa2MnCl
_symmetry_space_group_name_H-M 'R -3 m'
_symmetry_Int_Tables_number 166
_symmetry_space_group_name_Hall '-R 3 2"'
_cell_length_a 3.8235
_cell_length_b 3.8235
_cell_length_c 21.9198
_cell_angle_alpha 90.00
_cell_angle_beta 90.00
_cell_angle_gamma 120.00
loop_
_atom_site_label
_atom_site_fract_x
_atom_site_fract_y
_atom_site_fract_z
Pa1 0.0000 0.0000 0.2304
Mn1 0.0000 0.0000 0.5000
Cl1 0.0000 0.0000 0.0000